Record 1
TcPW2 | PBEsol | relaxed

Lattice parameters (Å, degrees): 3.6460 3.6460 4.9958 111.40 111.40 90.00
Last column: nearest neighbours and their distance in Å.
Fractional coordinates of all 4 atoms:
1 W 0.7500 0.2500 0.5000  4 Tc 2.58, 4 W 2.81, 4 P 2.81
2 W 0.0000 0.0000 0.0000  4 P 2.58, 4 W 2.81, 4 Tc 2.81
3 Tc 0.2500 0.7500 0.5000  8 W 2.58-2.81, 4 P 2.81
4 P 0.5000 0.5000 0.0000  8 W 2.58-2.81, 4 Tc 2.81

DOS(E_F) (states/eV/atom): 0.7912
E_form (kJ per mole of atoms): 19.23
Calculated density (g cm⁻³): 14.50
Magnetization (μB per cell): 0.000

=====

Record 2
Ta6Fe16Si7 | PBEsol | relaxed

Lattice parameters (Å, degrees): 7.8293 7.8293 7.8293 60.00 60.00 60.00
Last column: nearest neighbours and their distance in Å.
Fractional coordinates of all 29 atoms:
1 Fe 0.6199 0.6199 0.6199  4 Si 2.30-2.43, 3 Fe 2.44
2 Fe 0.1735 0.4794 0.1735  3 Si 2.26, 6 Fe 2.40-2.44
3 Fe 0.8265 0.8265 0.5206  3 Si 2.26, 6 Fe 2.40-2.44
4 Fe 0.1735 0.1735 0.1735  3 Si 2.26, 6 Fe 2.40-2.44
5 Fe 0.8597 0.3801 0.3801  4 Si 2.30-2.43, 3 Fe 2.44
6 Fe 0.4794 0.1735 0.1735  3 Si 2.26, 6 Fe 2.40-2.44
7 Fe 0.8265 0.5206 0.8265  3 Si 2.26, 6 Fe 2.40-2.44
8 Fe 0.8265 0.8265 0.8265  3 Si 2.26, 6 Fe 2.40-2.44
9 Fe 0.1735 0.1735 0.4794  3 Si 2.26, 6 Fe 2.40-2.44
10 Fe 0.3801 0.3801 0.8597  4 Si 2.30-2.43, 3 Fe 2.44
11 Fe 0.5206 0.8265 0.8265  3 Si 2.26, 6 Fe 2.40-2.44
12 Fe 0.6199 0.6199 0.1403  4 Si 2.30-2.43, 3 Fe 2.44
13 Fe 0.3801 0.3801 0.3801  4 Si 2.30-2.43, 3 Fe 2.44
14 Fe 0.6199 0.1403 0.6199  4 Si 2.30-2.43, 3 Fe 2.44
15 Fe 0.1403 0.6199 0.6199  4 Si 2.30-2.43, 3 Fe 2.44
16 Fe 0.3801 0.8597 0.3801  4 Si 2.30-2.43, 3 Fe 2.44
17 Ta 0.7962 0.2038 0.2038  8 Fe 2.71-2.74, 4 Si 2.81
18 Ta 0.2038 0.7962 0.7962  8 Fe 2.71-2.74, 4 Si 2.81
19 Ta 0.2038 0.2038 0.7962  8 Fe 2.71-2.74, 4 Si 2.81
20 Ta 0.7962 0.2038 0.7962  8 Fe 2.71-2.74, 4 Si 2.81
21 Ta 0.7962 0.7962 0.2038  8 Fe 2.71-2.74, 4 Si 2.81
22 Ta 0.2038 0.7962 0.2038  8 Fe 2.71-2.74, 4 Si 2.81
23 Si 0.5000 0.0000 0.0000  8 Fe 2.26-2.43
24 Si 0.5000 0.5000 0.5000  8 Fe 2.30
25 Si 0.5000 0.0000 0.5000  8 Fe 2.26-2.43
26 Si 0.0000 0.5000 0.0000  8 Fe 2.26-2.43
27 Si 0.0000 0.0000 0.5000  8 Fe 2.26-2.43
28 Si 0.0000 0.5000 0.5000  8 Fe 2.26-2.43
29 Si 0.5000 0.5000 0.0000  8 Fe 2.26-2.43

DOS(E_F) (states/eV/atom): 0.8025
Calculated density (g cm⁻³): 10.65
Magnetization (μB per cell): 0.006

=====

Record 3
PuSi2Pt2 | PBEsol | relaxed

Lattice parameters (Å, degrees): 4.1631 4.1631 9.7852 90.00 90.00 90.00
Last column: nearest neighbours and their distance in Å.
Fractional coordinates of all 10 atoms:
1 Si 0.0000 0.0000 0.5000  4 Pt 2.41
2 Si 0.5000 0.5000 0.5000  4 Pt 2.41
3 Si 0.0000 0.5000 0.8655  5 Pt 2.37-2.46
4 Si 0.5000 0.0000 0.1345  5 Pt 2.37-2.46
5 Pu 0.0000 0.5000 0.2560  8 Si 3.17, 8 Pt 3.17-3.26
6 Pu 0.5000 0.0000 0.7440  8 Si 3.17, 8 Pt 3.17-3.26
7 Pt 0.0000 0.5000 0.6234  5 Si 2.37-2.41
8 Pt 0.0000 0.0000 0.0000  4 Si 2.46
9 Pt 0.5000 0.5000 0.0000  4 Si 2.46
10 Pt 0.5000 0.0000 0.3766  5 Si 2.37-2.41

DOS(E_F) (states/eV/atom): 2.7506
Calculated density (g cm⁻³): 13.52
Magnetization (μB per cell): 10.446

=====

Record 4
SbCl | PBEsol | relaxed

Lattice parameters (Å, degrees): 5.8370 5.8370 5.8370 90.00 90.00 90.00
Last column: nearest neighbours and their distance in Å.
Fractional coordinates of all 8 atoms:
1 Cl 0.1286 0.6286 0.8714  1 Sb 2.53
2 Cl 0.8714 0.1286 0.6286  1 Sb 2.53
3 Cl 0.3714 0.3714 0.3714  1 Sb 2.53
4 Cl 0.6286 0.8714 0.1286  1 Sb 2.53
5 Sb 0.3791 0.8791 0.6209  1 Cl 2.53
6 Sb 0.1209 0.1209 0.1209  1 Cl 2.53
7 Sb 0.8791 0.6209 0.3791  1 Cl 2.53
8 Sb 0.6209 0.3791 0.8791  1 Cl 2.53

DOS(E_F) (states/eV/atom): 0.4614
ΔE to the lowest computed polymorph (meV/atom): 182
Calculated density (g cm⁻³): 5.25
Magnetization (μB per cell): 0.000

=====

Record 5
KNiO2F | PBEsol | relaxed

Lattice parameters (Å, degrees): 4.4801 4.4801 4.4906 90.00 90.00 90.00
Last column: nearest neighbours and their distance in Å.
Fractional coordinates of all 5 atoms:
1 K 0.0000 0.0000 0.0000  4 O 2.24, 2 F 2.25
2 O 0.5000 0.0000 0.0000  2 K 2.24
3 O 0.0000 0.5000 0.0000  2 K 2.24
4 Ni 0.5000 0.5000 0.5000  4 F 3.17, 8 O 3.17
5 F 0.0000 0.0000 0.5000  2 K 2.25

DOS(E_F) (states/eV/atom): 1.9546
Calculated density (g cm⁻³): 2.74
Magnetization (μB per cell): 4.012

=====

Record 6
K2PtAu | PBEsol | relaxed

Lattice parameters (Å, degrees): 4.2226 4.2226 5.7574 111.51 111.51 90.00
Last column: nearest neighbours and their distance in Å.
Fractional coordinates of all 4 atoms:
1 K 0.7500 0.2500 0.5000  4 K 2.99, 4 Pt 3.24, 4 Au 3.24
2 K 0.2500 0.7500 0.5000  4 K 2.99, 4 Pt 3.24, 4 Au 3.24
3 Pt 0.5000 0.5000 0.0000  4 Au 2.99, 8 K 3.24
4 Au 0.0000 0.0000 0.0000  4 Pt 2.99, 8 K 3.24

DOS(E_F) (states/eV/atom): 0.2327
E_form (kJ per mole of atoms): 16.38
ΔE to the lowest computed polymorph (meV/atom): 0
Calculated density (g cm⁻³): 8.90
Magnetization (μB per cell): 0.000

=====

Listing E_tot for the structures above in their given order: -10.969 -9.483 -8.932 -3.337 -3.110 -3.119 eV per atom.